(1)
Computed, not measured: a geometry-optimized ZnSn2PbF8 structure at the PBE level of DFT.

Energy relative to the elements, uncorrected in eV per formula unit: -27.3
Calculated volume in Å³ per cell: 206

CIF file:
```
data_ZnSn2PbF8
_chemical_formula_sum 'Zn1 Sn2 Pb1 F8'
_cell_length_a 4.308
_cell_length_b 6.064
_cell_length_c 7.945
_cell_angle_alpha 87.88
_cell_angle_beta 95.74
_cell_angle_gamma 93.07
_symmetry_space_group_name_H-M 'P 1'
_symmetry_Int_Tables_number 1
_symmetry_space_group_name_Hall 'P 1'
loop_
_atom_site_label
_atom_site_fract_x
_atom_site_fract_y
_atom_site_fract_z
F1 0.013 0.842 0.215
F2 0.595 0.813 0.923
F3 0.038 0.668 0.732
F4 0.502 0.754 0.532
F5 0.405 0.187 0.077
F6 0.987 0.158 0.785
F7 0.962 0.332 0.268
F8 0.498 0.246 0.468
Zn1 0.000 0.000 0.000
Sn1 0.536 0.534 0.759
Sn2 0.464 0.466 0.241
Pb1 0.000 0.000 0.500
```

(2)
Computed, not measured: a geometry-optimized ZnSnPbF6 structure at the PBE level of DFT.

Energy relative to the elements, uncorrected in eV per formula unit: -20.3
Calculated volume in Å³ per cell: 154

CIF file:
```
data_ZnSnPbF6
_chemical_formula_sum 'Zn1 Sn1 Pb1 F6'
_cell_length_a 5.919
_cell_length_b 5.919
_cell_length_c 5.078
_cell_angle_alpha 90.01
_cell_angle_beta 89.99
_cell_angle_gamma 59.91
_symmetry_space_group_name_H-M 'P 1'
_symmetry_Int_Tables_number 1
_symmetry_space_group_name_Hall 'P 1'
loop_
_atom_site_label
_atom_site_fract_x
_atom_site_fract_y
_atom_site_fract_z
Sn1 0.000 0.000 0.000
F1 0.637 0.047 0.270
F2 0.316 0.636 0.271
F3 0.048 0.317 0.271
F4 0.635 0.317 0.729
F5 0.317 0.048 0.729
F6 0.047 0.637 0.730
Zn1 0.333 0.333 0.500
Pb1 0.666 0.667 0.500
```

(3)
Computed, not measured: a geometry-optimized SrPb2F structure at the PBE level of DFT.

Offset from the most stable computed form in kJ/mol of atoms: 17.44
Energy relative to the elements, uncorrected in eV per formula unit: -2.2
Calculated volume in Å³ per cell: 114

CIF file:
```
data_SrPb2F
_chemical_formula_sum 'Sr1 Pb2 F1'
_cell_length_a 5.436
_cell_length_b 5.436
_cell_length_c 5.436
_cell_angle_alpha 60.00
_cell_angle_beta 60.00
_cell_angle_gamma 60.00
_symmetry_space_group_name_H-M 'P 1'
_symmetry_Int_Tables_number 1
_symmetry_space_group_name_Hall 'P 1'
loop_
_atom_site_label
_atom_site_fract_x
_atom_site_fract_y
_atom_site_fract_z
Pb1 0.250 0.250 0.250
Pb2 0.750 0.750 0.750
F1 0.000 0.000 0.000
Sr1 0.500 0.500 0.500
```

(4)
Computed, not measured: a geometry-optimized SrPb2F8 structure at the PBE level of DFT.

Energy relative to the elements, uncorrected in eV per formula unit: -27.3
Calculated volume in Å³ per cell: 219

CIF file:
```
data_SrPb2F8
_chemical_formula_sum 'Sr1 Pb2 F8'
_cell_length_a 4.530
_cell_length_b 7.476
_cell_length_c 7.477
_cell_angle_alpha 120.01
_cell_angle_beta 90.00
_cell_angle_gamma 90.01
_symmetry_space_group_name_H-M 'P 1'
_symmetry_Int_Tables_number 1
_symmetry_space_group_name_Hall 'P 1'
loop_
_atom_site_label
_atom_site_fract_x
_atom_site_fract_y
_atom_site_fract_z
Sr1 0.000 0.000 0.000
F1 0.741 0.331 0.167
F2 0.741 0.836 0.669
F3 0.235 0.667 0.333
F4 0.259 0.167 0.836
F5 0.765 0.333 0.667
F6 0.259 0.669 0.833
F7 0.259 0.164 0.331
F8 0.741 0.833 0.164
Pb1 0.266 0.333 0.667
Pb2 0.734 0.667 0.333
```

(5)
Computed, not measured: a geometry-optimized SrPbF4 structure at the PBE level of DFT.

Energy relative to the elements, uncorrected in eV per formula unit: -19.1
Calculated volume in Å³ per cell: 104

CIF file:
```
data_SrPbF4
_chemical_formula_sum 'Sr1 Pb1 F4'
_cell_length_a 4.194
_cell_length_b 4.193
_cell_length_c 7.251
_cell_angle_alpha 73.19
_cell_angle_beta 73.19
_cell_angle_gamma 60.00
_symmetry_space_group_name_H-M 'P 1'
_symmetry_Int_Tables_number 1
_symmetry_space_group_name_Hall 'P 1'
loop_
_atom_site_label
_atom_site_fract_x
_atom_site_fract_y
_atom_site_fract_z
F1 0.373 0.373 0.880
F2 0.877 0.877 0.370
F3 0.123 0.123 0.630
F4 0.627 0.627 0.120
Pb1 0.500 0.500 0.500
Sr1 0.000 0.000 0.000
```

(6)
Computed, not measured: a geometry-optimized SrPb3F structure at the PBE level of DFT.

Offset from the most stable computed form in kJ/mol of atoms: 0.00
Energy relative to the elements, uncorrected in eV per formula unit: -3.7
Calculated volume in Å³ per cell: 145

CIF file:
```
data_SrPb3F
_chemical_formula_sum 'Sr1 Pb3 F1'
_cell_length_a 5.252
_cell_length_b 5.252
_cell_length_c 5.252
_cell_angle_alpha 90.00
_cell_angle_beta 90.00
_cell_angle_gamma 90.00
_symmetry_space_group_name_H-M 'P 1'
_symmetry_Int_Tables_number 1
_symmetry_space_group_name_Hall 'P 1'
loop_
_atom_site_label
_atom_site_fract_x
_atom_site_fract_y
_atom_site_fract_z
Pb1 0.500 0.000 0.000
Pb2 0.000 0.500 0.000
Pb3 0.000 0.000 0.500
F1 0.000 0.000 0.000
Sr1 0.500 0.500 0.500
```

> energy relative to the elements, uncorrected of number 4 (SrPb2F8)?

-27.3 eV per formula unit